Entry 1:
! PmY2Er7 | Alexandria | PBE | optimized geometry; values from VASP
! Relative energy among the computed polymorphs   0 meV per atom
! Theoretical density   8.0 Mg/m³
&SYSTEM
  ibrav = 0, nat = 10, ntyp = 3
/
ATOMIC_SPECIES
Er 167.26 Er.upf
Y 88.91 Y.upf
Pm 145.00 Pm.upf
ATOMIC_POSITIONS angstrom
Er -1.748 -2.574 1.665
Er 1.687 -2.417 -1.952
Er -5.076 -2.926 8.810
Er 0.044 -5.185 3.232
Er 6.899 -4.883 -4.005
Er 3.571 -5.235 3.140
Er 1.779 -2.624 1.572
Y 3.470 -5.037 -0.384
Y -1.647 -2.772 5.189
Pm 0.000 0.000 0.000
CELL_PARAMETERS angstrom
-6.969 -0.109 3.719
10.344 -4.725 -7.623
-1.552 -2.975 8.708

Entry 2:
! PmY2Er4 | Alexandria | PBE | optimized geometry; values from VASP
! Relative energy among the computed polymorphs   86 meV per atom
! Theoretical density   7.4 Mg/m³
&SYSTEM
  ibrav = 0, nat = 14, ntyp = 3
/
ATOMIC_SPECIES
Er 167.26 Er.upf
Y 88.91 Y.upf
Pm 145.00 Pm.upf
ATOMIC_POSITIONS angstrom
Er 6.734 -7.478 -1.946
Er 0.822 -4.814 -2.339
Er 4.888 -4.385 -1.875
Er 1.924 -1.523 -0.424
Er 3.951 -10.210 -1.234
Er -0.860 -4.254 0.289
Er 5.053 -6.919 0.682
Er 0.987 -7.348 0.217
Y -0.109 -3.011 -5.364
Y 2.665 -4.494 0.683
Y 5.983 -8.722 3.707
Y 3.210 -7.239 -2.341
Pm 2.742 -2.469 -3.656
Pm 3.133 -9.264 1.998
CELL_PARAMETERS angstrom
-4.543 -3.362 -2.191
3.481 -1.158 -5.440
6.937 -7.213 5.974

Entry 3:
! Pm6YEr5 | Alexandria | PBE | optimized geometry; values from VASP
! Uncorrected energy   -57.530 eV for the cell shown
! Theoretical density   7.6 Mg/m³
&SYSTEM
  ibrav = 0, nat = 12, ntyp = 3
/
ATOMIC_SPECIES
Pm 145.00 Pm.upf
Er 167.26 Er.upf
Y 88.91 Y.upf
ATOMIC_POSITIONS angstrom
Pm -6.165 -0.426 0.758
Pm -4.268 -1.617 6.506
Pm -7.538 -2.344 5.182
Pm -6.387 -5.581 4.137
Pm -2.898 0.296 2.091
Pm -5.014 -3.663 -0.288
Er -6.529 -1.433 -2.647
Er -1.377 -1.923 4.436
Er -7.910 -3.364 1.784
Er -4.643 -2.643 3.110
Er -3.271 -0.729 -1.331
Y 0.000 0.000 0.000
CELL_PARAMETERS angstrom
-4.413 2.524 -0.276
-5.386 -4.686 -3.702
-2.753 -3.845 8.872

Entry 4:
! Pm2YEr7 | Alexandria | PBE | optimized geometry; values from VASP
! Relative energy among the computed polymorphs   0 meV per atom
! Theoretical density   8.2 Mg/m³
&SYSTEM
  ibrav = 0, nat = 10, ntyp = 3
/
ATOMIC_SPECIES
Er 167.26 Er.upf
Y 88.91 Y.upf
Pm 145.00 Pm.upf
ATOMIC_POSITIONS angstrom
Er -1.690 5.575 1.940
Er 0.036 4.031 4.637
Er -0.875 4.711 -1.414
Er 5.114 -0.728 3.324
Er 3.388 0.815 0.627
Er 4.299 0.136 6.679
Er 1.663 2.349 -2.056
Y 0.000 0.000 0.000
Pm 2.575 1.644 3.979
Pm 0.849 3.202 1.285
CELL_PARAMETERS angstrom
5.927 -1.562 -0.018
-2.601 6.260 -4.095
0.098 0.149 9.377